The following is a PBE-GGA calculation of a relaxed KTaIn2 crystal, from the Alexandria database.

a b c (Å): 3.9287 3.9287 8.5651
angles (deg): 90.00 90.00 90.00
Fractional coordinates of all 4 atoms:
K  0.0000  0.0000  0.0000
Ta  0.5000  0.5000  0.3661
In  0.0000  0.0000  0.4008
In  0.5000  0.5000  0.6884

* density of states at the Fermi level: 0.7938 states/eV per atom
* E above lowest polymorph: 408 meV per atom
* formation enthalpy at 0 K: 645 meV per atom


The following is a PBE-GGA calculation of a relaxed NbZnSbTe2 crystal, from the Alexandria database.

a b c (Å): 5.3985 5.3985 5.4910
angles (deg): 90.00 90.00 90.00
Fractional coordinates of all 5 atoms:
Nb  0.0000  0.0000  0.0000
Zn  0.5000  0.5000  0.5000
Sb  0.0000  0.0000  0.5000
Te  0.0000  0.5000  0.0000
Te  0.5000  0.0000  0.0000

* uncorrected formation energy: 0.2890 eV/atom
* density of states at the Fermi level: 0.6247 states/eV per atom
* E above lowest polymorph: 0 meV per atom


The following is a PBE-GGA calculation of a relaxed Pr4Er3Th2 crystal, from the Alexandria database.

a b c (Å): 3.5915 3.5915 27.1843
angles (deg): 90.00 90.00 120.00
Fractional coordinates of all 9 atoms:
Pr  0.0000  0.0000  0.0000
Pr  0.0000  0.0000  0.2138
Pr  0.3333  0.6667  0.3318
Pr  0.3333  0.6667  0.5481
Er  0.0000  0.0000  0.4386
Er  0.3333  0.6667  0.1063
Er  0.3333  0.6667  0.7662
Th  0.0000  0.0000  0.6596
Th  0.0000  0.0000  0.8716

* density of states at the Fermi level: 1.7756 states/eV per atom
* E above lowest polymorph: 0 meV per atom
* formation enthalpy at 0 K: 82 meV per atom


The following is a PBE-GGA calculation of a relaxed GeBi2Br crystal, from the Alexandria database.

a b c (Å): 7.6525 7.6525 7.6525
angles (deg): 121.73 121.73 87.04
Fractional coordinates of all 8 atoms:
Ge  0.0000  0.0000  0.0000
Ge  0.7500  0.2500  0.5000
Bi  0.0858  0.6250  0.9608
Bi  0.3750  0.3358  0.4608
Bi  0.6642  0.1250  0.0392
Bi  0.8750  0.9142  0.5392
Br  0.2500  0.7500  0.5000
Br  0.5000  0.5000  0.0000

* uncorrected formation energy: 0.1728 eV/atom
* density of states at the Fermi level: 0.5700 states/eV per atom
* E above lowest polymorph: 155 meV per atom


The following is a PBE-GGA calculation of a relaxed NaFe3Pt crystal, from the Alexandria database.

a b c (Å): 4.3034 4.3034 4.3034
angles (deg): 90.00 90.00 90.00
Fractional coordinates of all 5 atoms:
Na  0.0000  0.0000  0.0000
Fe  0.0000  0.0000  0.5000
Fe  0.0000  0.5000  0.0000
Fe  0.5000  0.0000  0.0000
Pt  0.5000  0.5000  0.5000

* density of states at the Fermi level: 0.8727 states/eV per atom
* E above lowest polymorph: 873 meV per atom
* formation enthalpy at 0 K: 1754 meV per atom


The following is a PBE-GGA calculation of a relaxed Ac3PdRh crystal, from the Alexandria database.

a b c (Å): 8.9063 4.2138 9.0964
angles (deg): 90.00 102.48 90.00
Fractional coordinates of all 10 atoms:
Ac  0.0725  0.2500  0.3242
Ac  0.2906  0.2500  0.9853
Ac  0.3939  0.7500  0.6350
Ac  0.6061  0.2500  0.3650
Ac  0.7094  0.7500  0.0147
Ac  0.9275  0.7500  0.6758
Pd  0.3320  0.7500  0.2607
Pd  0.6680  0.2500  0.7393
Rh  0.1674  0.2500  0.6641
Rh  0.8326  0.7500  0.3359

* density of states at the Fermi level: 0.6776 states/eV per atom
* E above lowest polymorph: 19 meV per atom
* formation enthalpy at 0 K: -622 meV per atom


The following is a PBE-GGA calculation of a relaxed Nd5Ho6 crystal, from the Alexandria database.

a b c (Å): 9.4600 9.4600 9.4600
angles (deg): 145.50 128.83 63.18
Fractional coordinates of all 11 atoms:
Nd  0.0000  0.0000  0.0000
Nd  0.1623  0.6623  0.5000
Nd  0.3015  0.3015  0.0000
Nd  0.6985  0.6985  0.0000
Nd  0.8377  0.3377  0.5000
Ho  0.1588  0.8638  0.2950
Ho  0.2943  0.5000  0.7943
Ho  0.4312  0.1362  0.2950
Ho  0.5688  0.8638  0.7050
Ho  0.7057  0.5000  0.2057
Ho  0.8412  0.1362  0.7050

* density of states at the Fermi level: 1.3974 states/eV per atom
* E above lowest polymorph: 0 meV per atom
* formation enthalpy at 0 K: 115 meV per atom


The following is a PBE-GGA calculation of a relaxed TlTc2Se crystal, from the Alexandria database.

a b c (Å): 4.5804 4.5804 3.2307
angles (deg): 90.00 90.00 90.00
Fractional coordinates of all 4 atoms:
Tl  0.0000  0.0000  0.0000
Tc  0.0000  0.5000  0.5000
Tc  0.5000  0.0000  0.5000
Se  0.5000  0.5000  0.0000

* uncorrected formation energy: 0.6741 eV/atom
* density of states at the Fermi level: 1.3010 states/eV per atom
* E above lowest polymorph: 467 meV per atom


The following is a PBE-GGA calculation of a relaxed Nd3BiN2 crystal, from the Alexandria database.

a b c (Å): 3.5260 11.7656 6.5559
angles (deg): 90.00 90.00 90.00
Fractional coordinates of all 12 atoms:
Nd  0.0000  0.0898  0.0000
Nd  0.0000  0.9102  0.5000
Nd  0.5000  0.1610  0.5330
Nd  0.5000  0.3802  0.8560
Nd  0.5000  0.6198  0.3560
Nd  0.5000  0.8390  0.0330
Bi  0.0000  0.3682  0.2911
Bi  0.0000  0.6318  0.7911
N  0.0000  0.2476  0.7733
N  0.0000  0.7524  0.2733
N  0.5000  0.0037  0.2762
N  0.5000  0.9963  0.7762

* uncorrected formation energy: -1.0327 eV/atom
* density of states at the Fermi level: 0.3110 states/eV per atom
* E above lowest polymorph: 141 meV per atom


The following is a PBE-GGA calculation of a relaxed ThMgSnHg crystal, from the Alexandria database.

a b c (Å): 4.4172 4.7225 5.0080
angles (deg): 90.00 90.00 90.00
Fractional coordinates of all 4 atoms:
Th  0.0000  0.0000  0.0000
Mg  0.0000  0.5000  0.5000
Sn  0.5000  0.5000  0.0000
Hg  0.5000  0.0000  0.5000

* density of states at the Fermi level: 0.6488 states/eV per atom
* E above lowest polymorph: 0 meV per atom
* formation enthalpy at 0 K: -350 meV per atom


The following is a PBE-GGA calculation of a relaxed Pm13Tm3 crystal, from the Alexandria database.

a b c (Å): 10.2203 7.2396 7.2396
angles (deg): 89.96 90.00 90.00
Fractional coordinates of all 16 atoms:
Pm  0.0000  0.0000  0.0000
Pm  0.0000  0.0001  0.4965
Pm  0.0000  0.4965  0.0001
Pm  0.0000  0.4964  0.4964
Pm  0.2514  0.2471  0.7492
Pm  0.2514  0.7492  0.2471
Pm  0.2514  0.7492  0.7492
Pm  0.5000  0.0000  0.4961
Pm  0.5000  0.4961  0.0000
Pm  0.5000  0.4960  0.4960
Pm  0.7486  0.2471  0.7492
Pm  0.7486  0.7492  0.2471
Pm  0.7486  0.7492  0.7492
Tm  0.2513  0.2469  0.2469
Tm  0.5000  0.0006  0.0006
Tm  0.7487  0.2469  0.2469

* density of states at the Fermi level: 1.3788 states/eV per atom
* E above lowest polymorph: 0 meV per atom
* formation enthalpy at 0 K: 15 meV per atom


The following is a PBE-GGA calculation of a relaxed V2ZnGa crystal, from the Alexandria database.

a b c (Å): 3.6813 3.6813 4.0676
angles (deg): 90.00 90.00 90.00
Fractional coordinates of all 4 atoms:
V  0.0000  0.5000  0.0000
V  0.5000  0.0000  0.0000
Zn  0.0000  0.0000  0.5000
Ga  0.5000  0.5000  0.5000

* density of states at the Fermi level: 0.6167 states/eV per atom
* formation enthalpy at 0 K: -132 meV per atom


The following is a PBE-GGA calculation of a relaxed MgBrCl2 crystal, from the Alexandria database.

a b c (Å): 6.0265 6.0265 6.0265
angles (deg): 139.95 139.95 57.93
Fractional coordinates of all 4 atoms:
Mg  0.0000  0.0000  0.0000
Br  0.2500  0.7500  0.5000
Cl  0.5000  0.5000  0.0000
Cl  0.7500  0.2500  0.5000

* uncorrected formation energy: -0.5043 eV/atom
* density of states at the Fermi level: 0.4968 states/eV per atom
* E above lowest polymorph: 681 meV per atom